Record 1
Li8Zn5Au | PBE-GGA | optimized geometry Values from VASP.

Cell and atoms, written as Quantum ESPRESSO input:
```
&SYSTEM
  ibrav = 0, nat = 14, ntyp = 3
/
ATOMIC_SPECIES
Li 6.94 Li.upf
Zn 65.41 Zn.upf
Au 196.97 Au.upf
ATOMIC_POSITIONS angstrom
Li 3.465 1.268 -0.554
Li 1.567 -0.912 1.870
Li 2.321 4.800 -1.980
Li 2.620 -0.423 4.404
Li 2.976 2.321 1.980
Li 1.268 4.311 0.554
Li 0.423 2.620 3.296
Li 0.912 1.567 5.830
Zn 0.767 1.425 0.769
Zn 0.000 0.000 3.850
Zn -2.463 3.121 3.082
Zn -0.767 6.351 0.769
Zn 2.463 4.655 3.082
Au 3.888 0.000 1.925
CELL_PARAMETERS angstrom
-3.888 3.888 3.850
3.888 -3.888 3.850
3.888 3.888 -3.850
```

Output
Symmetry: I-4, No. 82
DFT total energy (eV/atom): -1.90
Total moment (Bohr magnetons per cell): 0.0


Record 2
Nd8Ag3Bi2 | PBE-GGA | optimized geometry Values from VASP.

Cell and atoms, written as Quantum ESPRESSO input:
```
&SYSTEM
  ibrav = 0, nat = 13, ntyp = 3
/
ATOMIC_SPECIES
Nd 144.24 Nd.upf
Ag 107.87 Ag.upf
Bi 208.98 Bi.upf
ATOMIC_POSITIONS angstrom
Nd 1.225 0.000 2.368
Nd 6.087 2.437 0.854
Nd 9.268 2.437 5.540
Nd 4.880 0.000 4.020
Nd 10.475 0.000 2.375
Nd 6.087 -2.437 0.854
Nd 9.268 -2.437 5.540
Nd 14.131 0.000 4.027
Ag 7.678 1.398 3.197
Ag 7.847 0.000 0.000
Ag 7.678 -1.398 3.197
Bi 4.001 0.000 0.798
Bi 11.354 0.000 5.597
CELL_PARAMETERS angstrom
7.847 -4.225 0.000
7.847 4.225 0.000
-0.339 0.000 6.394
```

Output
Symmetry: C2/m, No. 12
DFT total energy (eV/atom): -4.40
Total moment (Bohr magnetons per cell): 0.0